(1)
DFT (GGA-PBE) results for CsTlSe2 after structural relaxation.

a = 10.164 Å, b = 5.263 Å, c = 12.840 Å
α = 90.00°, β = 115.54°, γ = 90.00°
Space group P2_1/c (No. 14)
Asymmetric unit:
Cs  0.140  0.001  0.192
Tl  0.438  0.657  0.121
Se  0.129  0.043  0.476
Se  0.323  0.177  0.972

Summary:
Its theoretical density is 5.31 Mg/m³. The total energy is -3.159 eV per atom. As for the total magnetization: 0.00 μB per formula unit.

***

(2)
DFT (GGA-PBE) results for CsTlSe2 after structural relaxation.

a = 6.373 Å, b = 5.415 Å, c = 9.414 Å
α = 90.00°, β = 90.00°, γ = 90.00°
Space group Amm2 (No. 38)
Asymmetric unit:
Cs  0.000  0.000  0.000
Tl  0.500  0.000  0.334
Se  0.312  0.000  0.667

Summary:
Its theoretical density is 5.06 Mg/m³. The total energy is -3.191 eV per atom. As for the total magnetization: 0.00 μB per formula unit.

***

Computed density of states at the Fermi level, in the same sequence as the records: 0.00 0.00 states/eV per atom.
Computed energy relative to the elements, uncorrected, in the same sequence as the records: -611 -644 meV/atom.